1.
Below is crystalline Si3Ir at its relaxed geometry, with properties calculated at the GGA-PBE level.

Total magnetic moment (μB/atom): 0.0000
Formation energy from raw total energies (eV per atom): 0.00
Crystal system: trigonal
Uncorrected energy (eV for the cell shown): -25.12

The structure in POSCAR format:
```
Si3Ir
1.0
-4.402 -2.518 5.557
-5.591 -3.911 3.169
-3.184 -5.078 4.547
Si Ir
3 1
Cartesian
-3.307 -2.887 3.331
-9.871 -8.619 9.943
-6.589 -5.753 6.637
0.000 0.000 0.000
```

***

2.
Below is crystalline Si2Ir at its relaxed geometry, with properties calculated at the GGA-PBE level.

Total magnetic moment (μB/atom): 0.0000
Formation energy from raw total energies (eV per atom): 0.36
Crystal system: hexagonal
Uncorrected energy (eV for the cell shown): -37.25

The structure in POSCAR format:
```
Si2Ir
1.0
2.052 -3.555 0.000
2.052 3.555 0.000
0.000 0.000 5.918
Si Ir
4 2
Cartesian
2.052 -1.185 0.260
2.052 1.185 5.657
2.052 -1.185 2.699
2.052 1.185 3.219
0.000 0.000 1.479
0.000 0.000 4.438
```

***

3.
Below is crystalline Si2Ir at its relaxed geometry, with properties calculated at the GGA-PBE level.

Total magnetic moment (μB/atom): 0.0000
Formation energy from raw total energies (eV per atom): 0.37
Crystal system: hexagonal
Uncorrected energy (eV for the cell shown): -18.59

The structure in POSCAR format:
```
Si2Ir
1.0
4.243 0.000 0.000
-2.121 3.674 0.000
0.000 0.000 2.725
Ir Si
1 2
Cartesian
0.000 0.000 0.000
0.000 2.449 1.362
2.121 1.225 1.362
```

***

4.
Below is crystalline Si3Ir at its relaxed geometry, with properties calculated at the GGA-PBE level.

Total magnetic moment (μB/atom): 0.0000
Formation energy from raw total energies (eV per atom): 0.05
Crystal system: monoclinic
Uncorrected energy (eV for the cell shown): -24.94

The structure in POSCAR format:
```
Si3Ir
1.0
-0.584 0.190 -2.865
-1.107 -4.294 -0.060
-5.008 -1.259 0.937
Si Ir
3 1
Cartesian
-4.958 -4.142 -0.763
-1.741 -1.221 -1.225
-3.058 -2.777 0.438
0.000 0.000 0.000
```

***

Please write out number 3 again, unchanged.
Below is crystalline Si2Ir at its relaxed geometry, with properties calculated at the GGA-PBE level.

Total magnetic moment (μB/atom): 0.0000
Formation energy from raw total energies (eV per atom): 0.37
Crystal system: hexagonal
Uncorrected energy (eV for the cell shown): -18.59

The structure in POSCAR format:
```
Si2Ir
1.0
4.243 0.000 0.000
-2.121 3.674 0.000
0.000 0.000 2.725
Ir Si
1 2
Cartesian
0.000 0.000 0.000
0.000 2.449 1.362
2.121 1.225 1.362
```